Entry 1:
Entry from the Alexandria database: crystalline LaHf2Ta at its relaxed geometry (PBE).

Formation energy from the elements (eV per formula unit): 1.6
Excess energy over the best structure of this formula in the dataset (meV/atom): 193
SG: Fm-3m, No. 225
Fermi-level density of states (states/eV per cell): 7.32
E (eV per atom): -8.78

Cell: 5.0587 5.0587 5.0587 Å, 60.00 60.00 60.00°
Last column: nearest neighbours and their distance in Å.
Atoms (fractional coordinates):
La  0.0000  0.0000  0.0000  8 Hf 3.10
Hf  0.2500  0.2500  0.2500  4 Ta 3.10, 4 La 3.10
Hf  0.7500  0.7500  0.7500  4 La 3.10, 4 Ta 3.10
Ta  0.5000  0.5000  0.5000  8 Hf 3.10

Entry 2:
Entry from the Alexandria database: crystalline Cs2PuMnSe4 at its relaxed geometry (PBE).

Uncorrected formation energy (eV per atom): -0.933
SG: Fddd, No. 70
Fermi-level density of states (states/eV per cell): 20.35
E (eV per atom): -5.83

Cell: 6.5423 8.3320 13.4481 Å, 84.52 75.92 66.88°
Last column: nearest neighbours and their distance in Å.
Atoms (fractional coordinates):
Cs  0.1798  0.0000  0.6405  8 Se 3.88-4.15
Cs  0.8202  0.0000  0.3595  8 Se 3.88-4.15
Cs  0.5702  0.5000  0.8595  8 Se 3.88-4.15
Cs  0.9298  0.5000  0.1405  8 Se 3.88-4.15
Pu  0.7500  0.5000  0.5000  4 Se 2.71
Pu  0.0000  0.0000  0.0000  4 Se 2.71
Mn  0.2500  0.5000  0.5000  4 Se 2.51
Mn  0.5000  0.0000  0.0000  4 Se 2.51
Se  0.3251  0.7973  0.1004  1 Mn 2.51, 1 Pu 2.71
Se  0.2228  0.2027  0.8996  1 Mn 2.51, 1 Pu 2.71
Se  0.8775  0.7973  0.8996  1 Mn 2.51, 1 Pu 2.71
Se  0.5745  0.2027  0.1004  1 Mn 2.51, 1 Pu 2.71
Se  0.4249  0.7027  0.3996  1 Mn 2.51, 1 Pu 2.71
Se  0.5272  0.2973  0.6004  1 Mn 2.51, 1 Pu 2.71
Se  0.8725  0.7027  0.6004  1 Mn 2.51, 1 Pu 2.71
Se  0.1755  0.2973  0.3996  1 Mn 2.51, 1 Pu 2.71

Entry 3:
Entry from the Alexandria database: crystalline Nd4Cd at its relaxed geometry (PBE).

Formation energy from the elements (eV per formula unit): 0.1
Excess energy over the best structure of this formula in the dataset (meV/atom): 132
SG: C2/c, No. 15
Fermi-level density of states (states/eV per cell): 13.04
E (eV per atom): -3.98

Cell: 6.9747 6.1819 9.8097 Å, 78.98 69.18 57.46°
Last column: nearest neighbours and their distance in Å.
Atoms (fractional coordinates):
Nd  0.4485  0.2603  0.5770  1 Cd 3.24, 8 Nd 3.37-3.63
Nd  0.9745  0.2397  0.5770  1 Cd 3.24, 8 Nd 3.37-3.63
Nd  0.2351  0.1268  0.1612  2 Cd 3.21-3.27, 1 Nd 3.54
Nd  0.6037  0.3732  0.1612  2 Cd 3.21-3.27, 1 Nd 3.54
Nd  0.7649  0.8732  0.8388  2 Cd 3.21-3.27, 1 Nd 3.54
Nd  0.3963  0.6268  0.8388  2 Cd 3.21-3.27, 1 Nd 3.54
Nd  0.0255  0.7603  0.4230  1 Cd 3.24, 8 Nd 3.37-3.63
Nd  0.5515  0.7397  0.4230  1 Cd 3.24, 8 Nd 3.37-3.63
Cd  0.0605  0.2500  0.8790  6 Nd 3.21-3.27
Cd  0.9395  0.7500  0.1210  6 Nd 3.21-3.27

Entry 4:
Entry from the Alexandria database: crystalline ScTi2AlH at its relaxed geometry (PBE).

SG: P4/mmm, No. 123
Fermi-level density of states (states/eV per cell): 3.26
E (eV per atom): -6.18

Cell: 4.1382 4.1382 4.2588 Å, 90.00 90.00 90.00°
Last column: nearest neighbours and their distance in Å.
Atoms (fractional coordinates):
Sc  0.0000  0.0000  0.5000  2 H 2.13
H  0.0000  0.0000  0.0000  4 Ti 2.07, 2 Sc 2.13
Al  0.5000  0.5000  0.5000  4 Sc 2.93, 8 Ti 2.97
Ti  0.0000  0.5000  0.0000  2 H 2.07
Ti  0.5000  0.0000  0.0000  2 H 2.07

Entry 5:
Entry from the Alexandria database: crystalline CePm5Cd3 at its relaxed geometry (PBE).

Formation energy from the elements (eV per formula unit): -1.2
SG: P6_3/mcm, No. 193
Fermi-level density of states (states/eV per cell): 27.90
E (eV per atom): -3.74

Cell: 6.9826 9.4319 9.4318 Å, 120.00 90.00 90.00°
Last column: nearest neighbours and their distance in Å.
Atoms (fractional coordinates):
Ce  0.0000  0.0000  0.0000  2 Ce 3.49, 6 Pm 3.53, 6 Cd 3.66
Ce  0.5000  0.0000  0.0000  2 Ce 3.49, 6 Pm 3.53, 6 Cd 3.66
Pm  0.0000  0.6667  0.3334  8 Pm 3.49-3.63, 6 Cd 3.56-3.57
Pm  0.5000  0.3333  0.6666  8 Pm 3.49-3.63, 6 Cd 3.56-3.57
Pm  0.0000  0.3333  0.6666  8 Pm 3.49-3.63, 6 Cd 3.56-3.57
Pm  0.5000  0.6667  0.3334  8 Pm 3.49-3.63, 6 Cd 3.56-3.57
Pm  0.7500  0.6750  0.6750  5 Cd 3.14-3.49
Pm  0.7500  0.0000  0.3250  5 Cd 3.14-3.49
Pm  0.7500  0.3251  0.0000  5 Cd 3.14-3.49
Pm  0.2500  0.3250  0.3250  5 Cd 3.14-3.49
Pm  0.2500  0.0000  0.6750  5 Cd 3.14-3.49
Pm  0.2500  0.6749  0.0000  5 Cd 3.14-3.49
Cd  0.7500  0.3411  0.3411  5 Pm 3.14-3.49
Cd  0.7500  0.0000  0.6589  5 Pm 3.14-3.49
Cd  0.7500  0.6588  0.0000  5 Pm 3.14-3.49
Cd  0.2500  0.6589  0.6589  5 Pm 3.14-3.49
Cd  0.2500  0.0000  0.3411  5 Pm 3.14-3.49
Cd  0.2500  0.3412  0.0000  5 Pm 3.14-3.49

Entry 6:
Entry from the Alexandria database: crystalline Tb2DyAl2Zn2 at its relaxed geometry (PBE).

Formation energy from the elements (eV per formula unit): -2.2
SG: R-3m, No. 166
Fermi-level density of states (states/eV per cell): 3.30
E (eV per atom): -3.73

Cell: 4.5077 4.5077 9.4483 Å, 76.20 76.20 60.00°
Last column: nearest neighbours and their distance in Å.
Atoms (fractional coordinates):
Tb  0.1272  0.1272  0.6185  3 Al 3.05, 3 Zn 3.12, 3 Tb 3.38
Tb  0.8728  0.8728  0.3815  3 Al 3.05, 3 Zn 3.12, 3 Tb 3.38
Dy  0.0000  0.0000  0.0000  6 Zn 3.13, 6 Al 3.20, 2 Tb 3.46
Al  0.7353  0.7353  0.7942  3 Zn 2.61
Al  0.2647  0.2647  0.2058  3 Zn 2.61
Zn  0.6027  0.6027  0.1919  3 Al 2.61
Zn  0.3973  0.3973  0.8081  3 Al 2.61